VASP calculation (SCAN) on a crystal of Cd3Cu2 relaxed with PBEsol.

Summary:
**Calculated density**: 8703 kg/m3
**Formation energy from the elements**: 50 meV per atom
**Total moment**: 0.000 μB/f.u.

```
data_Cd3Cu2
_space_group_name_H-M_alt 'P -3 m 1'
_space_group_IT_number 164
_space_group_name_Hall '-P 3 2"'
_cell_length_a 4.3893
_cell_length_b 4.3893
_cell_length_c 5.3097
_cell_angle_alpha 90.00
_cell_angle_beta 90.00
_cell_angle_gamma 120.00
loop_
_atom_site_label
_atom_site_fract_x
_atom_site_fract_y
_atom_site_fract_z
Cd1 0.0000 0.0000 0.0000
Cd2 0.3333 0.6667 0.3603
Cu1 0.3333 0.6667 0.8640
```